Below is YFe2As after structural relaxation, with properties calculated at the PBE-GGA level.

a b c (Å): 5.2392 5.2392 5.2392
angles (deg): 135.76 135.76 64.35
Fractional coordinates of all 4 atoms:
As1 0.7500 0.2500 0.5000
Y1 0.2500 0.7500 0.5000
Fe1 0.0000 0.0000 0.0000
Fe2 0.5000 0.5000 0.0000

* energy of formation: -0.016 eV per atom
* magnetic moment: 4.90 μB per formula unit
* final energy: -28.103 eV per formula unit
* DOS at the Fermi energy: 3.88 states/eV/cell



Below is YFeAs2 after structural relaxation, with properties calculated at the PBE-GGA level.

a b c (Å): 4.7400 4.7400 4.7400
angles (deg): 60.00 60.00 60.00
Fractional coordinates of all 4 atoms:
Y1 0.7500 0.7500 0.7500
As1 0.0000 0.0000 0.0000
Fe1 0.5000 0.5000 0.5000
As2 0.2500 0.2500 0.2500

* energy of formation: -0.016 eV per atom
* magnetic moment: 1.95 μB per formula unit
* relative energy among the computed polymorphs: 613 meV per atom
* final energy: -24.289 eV per formula unit
* DOS at the Fermi energy: 5.60 states/eV/cell



Below is YFeAs2 after structural relaxation, with properties calculated at the PBE-GGA level.

a b c (Å): 6.7408 6.7408 6.7408
angles (deg): 152.23 148.04 42.84
Fractional coordinates of all 4 atoms:
Y1 0.2995 0.7995 0.5000
As1 0.9751 0.9751 0.0000
As2 0.6833 0.1833 0.5000
Fe1 0.5421 0.5421 0.0000

* energy of formation: -0.442 eV per atom
* magnetic moment: 1.06 μB per formula unit
* relative energy among the computed polymorphs: 187 meV per atom
* final energy: -25.993 eV per formula unit
* DOS at the Fermi energy: 2.32 states/eV/cell



Below is Y2FeAs after structural relaxation, with properties calculated at the PBE-GGA level.

a b c (Å): 4.0864 4.0864 5.7843
angles (deg): 90.00 90.00 90.00
Fractional coordinates of all 4 atoms:
As1 0.0000 0.0000 0.4021
Fe1 0.5000 0.5000 0.8532
Y1 0.0000 0.0000 0.9020
Y2 0.5000 0.5000 0.3426

* energy of formation: -0.342 eV per atom
* magnetic moment: 1.59 μB per formula unit
* final energy: -27.407 eV per formula unit
* DOS at the Fermi energy: 3.97 states/eV/cell



Below is YFeAs2 after structural relaxation, with properties calculated at the PBE-GGA level.

a b c (Å): 3.9318 3.9687 4.9983
angles (deg): 82.68 90.00 90.00
Fractional coordinates of all 4 atoms:
As1 0.0000 0.3704 0.4871
Fe1 0.5000 0.2500 0.2500
Y1 0.5000 0.7500 0.7500
As2 0.0000 0.1296 0.0129

* energy of formation: -0.500 eV per atom
* magnetic moment: 1.09 μB per formula unit
* relative energy among the computed polymorphs: 128 meV per atom
* final energy: -26.227 eV per formula unit
* DOS at the Fermi energy: 2.50 states/eV/cell



Below is YFe2As after structural relaxation, with properties calculated at the PBE-GGA level.

a b c (Å): 5.1317 5.1317 5.1317
angles (deg): 141.06 126.05 68.51
Fractional coordinates of all 4 atoms:
Fe1 0.0046 0.0046 0.0000
Fe2 0.7836 0.2836 0.5000
Y1 0.4958 0.4958 0.0000
As1 0.2160 0.7160 0.5000

* energy of formation: -0.053 eV per atom
* magnetic moment: 3.94 μB per formula unit
* final energy: -28.249 eV per formula unit
* DOS at the Fermi energy: 1.58 states/eV/cell